Record 1
Density functional theory data (PBE) for a geometry-optimized Ti2Ni2Hg structure.

Geometry as extended XYZ:
```
5
Lattice="-2.177 1.965 1.472 -2.356 -2.227 -0.512 -0.656 -3.378 7.196" Properties=species:S:1:pos:R:3 pbc="T T T"
Ti -3.332 -2.683 5.968
Ni -2.550 -0.772 4.575
Ti -1.857 -0.957 2.189
Hg 0.000 0.000 0.000
Ni -2.639 -2.868 3.583
```

Properties
formation energy = -8 meV/atom
space group = I4/mmm (139)
crystal system = tetragonal
magnetic moment = 0.00 μB per formula unit
mass density = 8.36 g/cm3

***

Record 2
Density functional theory data (PBE) for a geometry-optimized CdFeSb3 structure.

Geometry as extended XYZ:
```
5
Lattice="5.008 0.000 0.000 0.000 5.008 0.000 0.000 0.000 5.008" Properties=species:S:1:pos:R:3 pbc="T T T"
Sb 0.000 0.000 2.504
Fe 0.000 0.000 0.000
Sb 2.504 0.000 0.000
Sb 0.000 2.504 0.000
Cd 2.504 2.504 2.504
```

Properties
space group = Pm-3m (221)
crystal system = cubic
offset from the most stable computed form = 0.000 eV/atom
magnetic moment = 1.04 μB per formula unit
mass density = 7.05 g/cm3

***

Record 3
Density functional theory data (PBE) for a geometry-optimized La2PtBr structure.

Geometry as extended XYZ:
```
4
Lattice="2.120 -4.334 2.129 3.215 0.408 4.160 -1.600 -1.662 4.742" Properties=species:S:1:pos:R:3 pbc="T T T"
La 2.801 -4.191 8.274
Br 0.000 0.000 0.000
Pt 1.867 -2.794 5.516
La 0.934 -1.397 2.758
```

Properties
space group = Fm-3m (225)
crystal system = cubic
offset from the most stable computed form = 0.351 eV/atom
magnetic moment = 0.97 μB per formula unit
mass density = 8.85 g/cm3

***

Record 4
Density functional theory data (PBE) for a geometry-optimized NaTe3N structure.

Geometry as extended XYZ:
```
5
Lattice="-2.625 -4.820 0.648 2.494 -1.967 -4.523 4.175 -1.855 3.109" Properties=species:S:1:pos:R:3 pbc="T T T"
N 2.022 -4.321 -0.382
Te 2.088 -0.928 1.555
Te 1.247 -0.983 -2.261
Te -1.312 -2.410 0.324
Na 0.000 0.000 0.000
```

Properties
space group = Pm-3m (221)
crystal system = cubic
offset from the most stable computed form = 1.148 eV/atom
magnetic moment = 2.93 μB per formula unit
mass density = 4.13 g/cm3

***

Record 5
Density functional theory data (PBE) for a geometry-optimized DyY2Al2 structure.

Geometry as extended XYZ:
```
5
Lattice="-3.776 0.024 2.885 -3.804 -4.308 -1.030 0.184 -4.065 4.188" Properties=species:S:1:pos:R:3 pbc="T T T"
Dy 0.000 0.000 0.000
Y -5.556 -5.819 4.517
Al -4.496 -4.223 1.978
Al -2.901 -4.126 4.065
Y -1.841 -2.530 1.525
```

Properties
formation energy = -333 meV/atom
space group = Immm (71)
crystal system = orthorhombic
offset from the most stable computed form = 0.000 eV/atom
magnetic moment = 0.00 μB per formula unit
mass density = 4.99 g/cm3

***

Record 6
Density functional theory data (PBE) for a geometry-optimized ThPa2Mn structure.

Geometry as extended XYZ:
```
8
Lattice="4.392 -0.244 0.000 -1.961 5.830 0.000 0.000 0.000 7.536" Properties=species:S:1:pos:R:3 pbc="T T T"
Pa 0.063 1.700 3.414
Mn 1.970 2.414 1.884
Pa 2.368 3.887 7.182
Pa 2.368 3.887 4.122
Mn 0.462 3.172 5.652
Th 2.282 0.505 5.652
Th 0.149 5.081 1.884
Pa 0.063 1.700 0.354
```

Properties
formation energy = 50 meV/atom
space group = P2_1/m (11)
crystal system = monoclinic
offset from the most stable computed form = 0.000 eV/atom
magnetic moment = 0.00 μB per formula unit
mass density = 13.14 g/cm3

***

Record 7
Density functional theory data (PBE) for a geometry-optimized TlInS structure.

Geometry as extended XYZ:
```
3
Lattice="-3.420 -0.865 -3.722 -2.471 -4.488 -0.219 -5.000 -0.231 1.115" Properties=species:S:1:pos:R:3 pbc="T T T"
In 0.000 0.000 0.000
Tl -5.445 -2.792 -1.413
S -2.723 -1.396 -0.706
```

Properties
space group = F-43m (216)
crystal system = cubic
offset from the most stable computed form = 0.200 eV/atom
magnetic moment = 0.00 μB per formula unit
mass density = 6.12 g/cm3

***

Record 8
Density functional theory data (PBE) for a geometry-optimized Na2Sn4Pb5 structure.

Geometry as extended XYZ:
```
11
Lattice="-3.810 3.927 -3.726 -8.556 -1.238 1.563 -2.482 6.090 3.076" Properties=species:S:1:pos:R:3 pbc="T T T"
Sn -11.794 5.937 0.676
Pb -8.436 1.083 0.986
Pb -5.519 2.426 2.319
Pb -10.366 3.073 -0.902
Sn -9.857 8.259 1.143
Sn -3.053 2.841 0.236
Na -5.405 4.592 -1.394
Na -9.442 4.187 2.307
Pb -4.481 5.705 1.814
Pb -6.411 7.695 -0.074
Sn -4.990 0.519 -0.230
```

Properties
formation energy = 1 meV/atom
space group = C2/m (12)
crystal system = monoclinic
offset from the most stable computed form = 0.022 eV/atom
magnetic moment = 0.00 μB per formula unit
mass density = 7.50 g/cm3